# 1
FeW: relaxed, PBE-GGA.

abc: 7.543 7.543 4.234
angles: 90.00 90.00 90.00
Each line ends with the local moment (μB).
Sites, in units of the cell vectors:
W (0.703, 0.639, 0.000)  -0.11
W (0.539, 0.830, 0.500)  -0.13
W (0.830, 0.461, 0.500)  -0.13
W (0.361, 0.703, 0.000)  -0.11
W (0.297, 0.361, 0.000)  -0.11
W (0.639, 0.297, 0.000)  -0.11
W (0.461, 0.170, 0.500)  -0.13
W (0.170, 0.539, 0.500)  -0.13
Fe (0.193, 0.879, 0.500)  2.12
Fe (0.025, 0.695, 0.000)  2.12
Fe (0.305, 0.025, 0.000)  2.12
Fe (0.695, 0.975, 0.000)  2.12
Fe (0.807, 0.121, 0.500)  2.12
Fe (0.975, 0.305, 0.000)  2.12
Fe (0.879, 0.807, 0.500)  2.12
Fe (0.121, 0.193, 0.500)  2.12

Properties
The value obtained for the calculated formation energy is 0.52 eV/atom. As for the symmetry: P4/m. Its crystal system is tetragonal.



# 2
Ba2CdBr2: relaxed, PBE-GGA.

abc: 5.177 5.177 8.913
angles: 73.12 73.12 90.00
Sites, in units of the cell vectors:
Cd (0.000, 0.000, 0.000)
Br (0.750, 0.250, 0.500)
Br (0.250, 0.750, 0.500)
Ba (0.627, 0.627, 0.746)
Ba (0.373, 0.373, 0.254)

Properties
Its energy relative to the elements, uncorrected is -1.234 eV per atom. As for the symmetry: I4/mmm. Its crystal system is tetragonal.



# 3
HoUTlO6: relaxed, PBE-GGA.

abc: 5.627 5.627 9.845
angles: 90.00 90.00 120.00
Sites, in units of the cell vectors:
U (0.333, 0.667, 0.750)
U (0.667, 0.333, 0.250)
Tl (0.333, 0.667, 0.250)
Tl (0.667, 0.333, 0.750)
O (0.649, 0.677, 0.631)
O (0.323, 0.351, 0.869)
O (0.972, 0.323, 0.131)
O (0.972, 0.649, 0.369)
O (0.351, 0.323, 0.369)
O (0.649, 0.972, 0.869)
O (0.677, 0.028, 0.369)
O (0.677, 0.649, 0.131)
O (0.028, 0.677, 0.869)
O (0.351, 0.028, 0.131)
O (0.323, 0.972, 0.631)
O (0.028, 0.351, 0.631)
Ho (0.000, 0.000, 0.500)
Ho (0.000, 0.000, 0.000)

Properties
Its energy relative to the elements, uncorrected is -2.497 eV per atom. As for the symmetry: P-31c. Its crystal system is trigonal.



# 4
YAs2CBr: relaxed, PBE-GGA.

abc: 4.359 4.359 5.137
angles: 90.00 90.00 90.00
Sites, in units of the cell vectors:
Br (0.000, 0.000, 0.500)
As (0.000, 0.500, 0.000)
As (0.500, 0.000, 0.000)
Y (0.500, 0.500, 0.500)
C (0.000, 0.000, 0.000)

Properties
Its energy relative to the elements, uncorrected is 0.383 eV per atom. As for the symmetry: P4/mmm. Its crystal system is tetragonal.



DFT total energy, respectively: -163.0 -14.3 -140.9 -24.7 eV/cell.